A plane-wave DFT calculation with PBE was carried out for an optimized crystal structure of Gd2LuTl.

```
4
Lattice="-2.899 4.623 0.211 -1.632 2.412 -4.619 -5.285 -0.026 -1.374" Properties=species:S:1:pos:R:3 pbc="T T T"
Tl -4.908 3.504 -2.891
Gd -2.454 1.752 -1.446
Gd -7.362 5.256 -4.337
Lu 0.000 0.000 0.000
```

Calculated values
Excess energy over the best structure of this formula in the dataset, meV per atom: 115.0
Space group: No. 225
DOS at the Fermi energy, states/eV/f.u.: 4.396
Formation enthalpy at 0 K, meV/atom: -89